Model A:
First-principles (GGA-PBE) data for Mn2Al2In after structural relaxation, as listed in the Alexandria database.

Results
As for the density of states at the Fermi level: 19.32 states/eV/cell.

a b c (Å): 6.7687 6.7687 3.2409
angles (deg): 90.00 90.00 90.00
Fractional positions:
Mn 0.6442 0.1442 0.0000
Mn 0.1442 0.3558 0.0000
Mn 0.8558 0.6442 0.0000
Mn 0.3558 0.8558 0.0000
In 0.0000 0.0000 0.0000
In 0.5000 0.5000 0.0000
Al 0.8553 0.3553 0.5000
Al 0.3553 0.1447 0.5000
Al 0.1447 0.6447 0.5000
Al 0.6447 0.8553 0.5000


Model B:
First-principles (GGA-PBE) data for Mn2Al2In after structural relaxation, as listed in the Alexandria database.

Results
As for the density of states at the Fermi level: 9.22 states/eV/cell.

a b c (Å): 7.3681 7.3681 2.8620
angles (deg): 90.00 90.00 90.00
Fractional positions:
Al 0.3742 0.8742 0.0000
Al 0.1258 0.3742 0.0000
Al 0.8742 0.6258 0.0000
Al 0.6258 0.1258 0.0000
In 0.0000 0.0000 0.0000
In 0.5000 0.5000 0.0000
Mn 0.8313 0.3313 0.5000
Mn 0.1687 0.6687 0.5000
Mn 0.3313 0.1687 0.5000
Mn 0.6687 0.8313 0.5000


Short version: model A is the least stable of them.


Model A:
First-principles (GGA-PBE) data for MnAl2In2 after structural relaxation, as listed in the Alexandria database.

Results
As for the density of states at the Fermi level: 5.43 states/eV/cell.

a b c (Å): 3.5885 3.5885 8.2638
angles (deg): 77.46 77.46 90.00
Fractional positions:
In 0.4083 0.4083 0.1835
In 0.5917 0.5917 0.8165
Al 0.7500 0.2500 0.5000
Al 0.2500 0.7500 0.5000
Mn 0.0000 0.0000 0.0000


Model B:
First-principles (GGA-PBE) data for MnAl2In2 after structural relaxation, as listed in the Alexandria database.

Results
As for the density of states at the Fermi level: 6.22 states/eV/cell.

a b c (Å): 6.8718 6.8718 4.3130
angles (deg): 90.00 90.00 90.00
Fractional positions:
Mn 0.5000 0.5000 0.0000
Mn 0.0000 0.0000 0.0000
In 0.8271 0.3271 0.5000
In 0.6729 0.8271 0.5000
In 0.3271 0.1729 0.5000
In 0.1729 0.6729 0.5000
Al 0.1391 0.3609 0.0000
Al 0.3609 0.8609 0.0000
Al 0.6391 0.1391 0.0000
Al 0.8609 0.6391 0.0000


Short version: model A is the least stable of them.


Model A:
First-principles (GGA-PBE) data for AlInMo2 after structural relaxation, as listed in the Alexandria database.

Results
As for the density of states at the Fermi level: 2.67 states/eV/cell.

a b c (Å): 5.1775 5.1775 2.7827
angles (deg): 90.00 90.00 114.81
Fractional positions:
In 0.0000 0.5000 0.5000
Mo 0.5000 0.5000 0.0000
Mo 0.0000 0.0000 0.0000
Al 0.5000 0.0000 0.5000


Model B:
First-principles (GGA-PBE) data for AlInMo2 after structural relaxation, as listed in the Alexandria database.

Results
As for the density of states at the Fermi level: 5.36 states/eV/cell.

a b c (Å): 7.2827 7.2827 5.8289
angles (deg): 51.34 51.34 90.00
Fractional positions:
In 0.0000 0.0000 0.0000
In 0.7500 0.2500 0.5000
Mo 0.3750 0.4008 0.7500
Mo 0.8750 0.8492 0.7500
Mo 0.1508 0.6250 0.2500
Mo 0.5992 0.1250 0.2500
Al 0.5000 0.5000 0.0000
Al 0.2500 0.7500 0.5000


Model C:
First-principles (GGA-PBE) data for AlInMo2 after structural relaxation, as listed in the Alexandria database.

Results
As for the density of states at the Fermi level: 3.22 states/eV/cell.

a b c (Å): 2.8634 2.8634 9.2248
angles (deg): 90.00 90.00 110.70
Fractional positions:
Mo 0.0000 0.0000 0.0215
Mo 0.5000 0.5000 0.2475
In 0.5000 0.5000 0.7575
Al 0.0000 0.0000 0.4734


Short version: model B is the least stable of them.


Model A:
First-principles (GGA-PBE) data for AlInMo2 after structural relaxation, as listed in the Alexandria database.

Results
As for the density of states at the Fermi level: 2.46 states/eV/cell.

a b c (Å): 5.2605 5.2605 2.8058
angles (deg): 81.74 81.74 115.40
Fractional positions:
Mo 0.5000 0.5000 0.0000
Mo 0.0000 0.0000 0.0000
Al 0.5000 0.0000 0.5000
In 0.0000 0.5000 0.5000


Model B:
First-principles (GGA-PBE) data for AlInMo2 after structural relaxation, as listed in the Alexandria database.

Results
As for the density of states at the Fermi level: 3.46 states/eV/cell.

a b c (Å): 3.3954 3.3954 5.9869
angles (deg): 90.00 90.00 90.00
Fractional positions:
In 0.5000 0.5000 0.7500
Mo 0.0000 0.0000 0.0462
Mo 0.0000 0.0000 0.4538
Al 0.5000 0.5000 0.2500


Short version: model A is the least stable of them.


Model A:
First-principles (GGA-PBE) data for AlIn3Mo after structural relaxation, as listed in the Alexandria database.

Results
As for the density of states at the Fermi level: 3.55 states/eV/cell.

a b c (Å): 5.2986 5.2986 5.2986
angles (deg): 90.00 90.00 90.00
Fractional positions:
Mo 0.0000 0.0000 0.0000
In 0.0000 0.5000 0.0000
In 0.5000 0.0000 0.0000
In 0.0000 0.0000 0.5000
Al 0.5000 0.5000 0.5000


Model B:
First-principles (GGA-PBE) data for AlIn3Mo after structural relaxation, as listed in the Alexandria database.

Results
As for the density of states at the Fermi level: 3.25 states/eV/cell.

a b c (Å): 5.2418 5.2418 5.2418
angles (deg): 90.00 90.00 90.00
Fractional positions:
Mo 0.5000 0.5000 0.5000
Al 0.0000 0.0000 0.0000
In 0.0000 0.0000 0.5000
In 0.0000 0.5000 0.0000
In 0.5000 0.0000 0.0000


Short version: model B is the least stable of them.


Model A:
First-principles (GGA-PBE) data for Al2InN after structural relaxation, as listed in the Alexandria database.

Results
As for the density of states at the Fermi level: 2.76 states/eV/cell.

a b c (Å): 4.5537 4.5537 4.5537
angles (deg): 60.00 60.00 60.00
Fractional positions:
Al 0.7500 0.7500 0.7500
Al 0.2500 0.2500 0.2500
In 0.5000 0.5000 0.5000
N 0.0000 0.0000 0.0000


Model B:
First-principles (GGA-PBE) data for Al2InN after structural relaxation, as listed in the Alexandria database.

Results
As for the density of states at the Fermi level: 0.42 states/eV/cell.

a b c (Å): 5.5625 5.5625 6.0662
angles (deg): 62.71 62.71 90.00
Fractional positions:
N 0.5000 0.5000 0.0000
N 0.2500 0.7500 0.5000
In 0.0000 0.0000 0.0000
In 0.7500 0.2500 0.5000
Al 0.3750 0.5025 0.7500
Al 0.4975 0.1250 0.2500
Al 0.8750 0.7475 0.7500
Al 0.2525 0.6250 0.2500


Short version: model A is the least stable of them.